## Pr2IrI (GGA-PBE)

Data for a geometry-optimized Pr2IrI structure.

Lattice parameters (Å, degrees): 3.6090 3.6090 8.5976 90.00 90.00 90.00
With the nearest neighbours (Å) after each atom.
Element x y z (fractional)
Pr  0.0000  0.0000  0.2028  4 Ir 3.09
Pr  0.0000  0.0000  0.7972  4 Ir 3.09
Ir  0.5000  0.5000  0.0000  8 Pr 3.09
I  0.5000  0.5000  0.5000  4 I 3.61, 8 Pr 3.61

Calculated values
polymorph energy (0 for the lowest one): 0.243 eV/atom
spin magnetization: 0.00 μB/f.u.
E: -5.704 eV per atom



## ZrGe3H (GGA-PBE)

Data for a geometry-optimized ZrGe3H structure.

Lattice parameters (Å, degrees): 5.2207 5.2207 5.2207 90.00 90.00 90.00
With the nearest neighbours (Å) after each atom.
Element x y z (fractional)
Zr  0.0000  0.0000  0.0000  6 Ge 2.61
Ge  0.0000  0.0000  0.5000  2 Zr 2.61
Ge  0.0000  0.5000  0.0000  2 Zr 2.61
Ge  0.5000  0.0000  0.0000  2 Zr 2.61
H  0.5000  0.5000  0.5000  12 Ge 3.69

Calculated values
polymorph energy (0 for the lowest one): 0.826 eV/atom
spin magnetization: 1.00 μB/f.u.
E: -4.260 eV per atom



## Th3Si4Pd2 (GGA-PBE)

Data for a geometry-optimized Th3Si4Pd2 structure.

Lattice parameters (Å, degrees): 5.8867 5.8867 8.3088 100.69 100.69 42.28
With the nearest neighbours (Å) after each atom.
Element x y z (fractional)
Th  0.0000  0.0000  0.0000  8 Si 3.17-3.20, 4 Pd 3.21
Th  0.3361  0.3361  0.3303  8 Si 3.13-3.20, 4 Pd 3.14-3.22
Th  0.6639  0.6639  0.6697  8 Si 3.13-3.20, 4 Pd 3.14-3.22
Si  0.0577  0.0577  0.3927  1 Si 2.38, 2 Pd 2.44
Si  0.2780  0.2780  0.9458  1 Pd 2.43, 2 Si 2.43
Si  0.7220  0.7220  0.0542  1 Pd 2.43, 2 Si 2.43
Si  0.9423  0.9423  0.6073  1 Si 2.38, 2 Pd 2.44
Pd  0.3883  0.3883  0.7201  3 Si 2.43-2.44
Pd  0.6117  0.6117  0.2799  3 Si 2.43-2.44

Calculated values
spin magnetization: 0.00 μB/f.u.
E: -6.966 eV per atom